Record 1
Compound: MgZrScAg2
Source: Alexandria via LeMat-Bulk
Functional: GGA-PBE
Structure: optimized geometry

Values from the calculation:
formation enthalpy at 0 K = 3.39 eV per formula unit

a b c (Å): 4.781 5.235 4.781
angles (deg): 90.00 90.00 90.00
Each line ends with the local moment (μB).
Element x y z (fractional)
Ag 0.500 0.000 0.000  0.01
Ag 0.000 0.000 0.500  0.00
Mg 0.000 0.000 0.000  0.02
Zr 0.000 0.500 0.000  0.72
Sc 0.500 0.500 0.500  0.36

=====

Record 2
Compound: Na2MgPd2O6
Source: Alexandria via LeMat-Bulk
Functional: GGA-PBE
Structure: optimized geometry

Values from the calculation:
formation energy (no corrections) = -119 kJ/mol of atoms

a b c (Å): 5.332 5.332 5.795
angles (deg): 98.89 98.89 120.62
Element x y z (fractional)
Pd 0.665 0.335 0.500
Pd 0.335 0.665 0.500
Mg 0.000 0.000 0.500
Na 0.834 0.166 0.000
Na 0.166 0.834 0.000
O 0.939 0.592 0.306
O 0.408 0.061 0.694
O 0.269 0.269 0.307
O 0.061 0.408 0.694
O 0.592 0.939 0.306
O 0.731 0.731 0.693

=====

Number 1: D(E_F) 5.20 states/eV/f.u.. Number 2: D(E_F) 0.00 states/eV/f.u..